LaDyNi2Sn | PBE | relaxed Values from VASP.

Quantum ESPRESSO input file:
```
&SYSTEM
  ibrav = 0, nat = 5, ntyp = 4
/
ATOMIC_SPECIES
La 138.91 La.upf
Dy 162.50 Dy.upf
Ni 58.69 Ni.upf
Sn 118.71 Sn.upf
CELL_PARAMETERS angstrom
-2.169 2.885 4.236
2.169 -2.885 4.236
2.169 2.885 -4.236
ATOMIC_POSITIONS crystal
La 0.000 0.000 0.000
Dy 0.406 0.406 0.000
Ni 0.419 0.709 0.710
Ni 0.998 0.709 0.290
Sn 0.699 0.199 0.500
```

The final energy comes out at -5.500 eV per atom. The calculation puts the calculated volume at 21.2 Å³ per atom. Its space group is Imm2, No. 44.

---

ScMo2Pt | PBE | relaxed Values from VASP.

Quantum ESPRESSO input file:
```
&SYSTEM
  ibrav = 0, nat = 4, ntyp = 3
/
ATOMIC_SPECIES
Sc 44.96 Sc.upf
Mo 95.94 Mo.upf
Pt 195.08 Pt.upf
CELL_PARAMETERS angstrom
0.000 3.204 3.204
3.204 0.000 3.204
3.204 3.204 0.000
ATOMIC_POSITIONS crystal
Sc 0.000 0.000 0.000
Mo 0.500 0.500 0.500
Mo 0.750 0.750 0.750
Pt 0.250 0.250 0.250
```

The calculation puts the calculated volume at 16.4 Å³ per atom. The value obtained for the formation energy is -242.0 meV/atom. Its space group is F-43m, No. 216.

---

HoCdTe3Au | PBE | relaxed Values from VASP.

Quantum ESPRESSO input file:
```
&SYSTEM
  ibrav = 0, nat = 12, ntyp = 4
/
ATOMIC_SPECIES
Ho 164.93 Ho.upf
Cd 112.41 Cd.upf
Te 127.60 Te.upf
Au 196.97 Au.upf
CELL_PARAMETERS angstrom
8.311 0.000 0.000
0.000 4.207 0.000
-2.395 0.000 9.912
ATOMIC_POSITIONS crystal
Ho 0.205 0.250 0.188
Ho 0.795 0.750 0.812
Cd 0.222 0.750 0.715
Cd 0.778 0.250 0.285
Te 0.084 0.250 0.870
Te 0.211 0.250 0.490
Te 0.454 0.750 0.155
Te 0.546 0.250 0.845
Te 0.789 0.750 0.510
Te 0.916 0.750 0.130
Au 0.403 0.750 0.410
Au 0.597 0.250 0.590
```

The final energy comes out at -3.648 eV per atom. The calculation puts the calculated volume at 28.9 Å³ per atom. Its space group is P2_1/m, No. 11.

---

Ba4Ag3Ge20 | PBE | relaxed Values from VASP.

Quantum ESPRESSO input file:
```
&SYSTEM
  ibrav = 0, nat = 54, ntyp = 3
/
ATOMIC_SPECIES
Ba 137.33 Ba.upf
Ag 107.87 Ag.upf
Ge 72.64 Ge.upf
CELL_PARAMETERS angstrom
10.982 0.000 0.000
0.000 10.982 0.000
0.000 0.000 10.982
ATOMIC_POSITIONS crystal
Ba 0.000 0.000 0.000
Ba 0.000 0.250 0.500
Ba 0.000 0.750 0.500
Ba 0.250 0.500 0.000
Ba 0.500 0.000 0.250
Ba 0.500 0.000 0.750
Ba 0.500 0.500 0.500
Ba 0.750 0.500 0.000
Ag 0.000 0.500 0.250
Ag 0.000 0.500 0.750
Ag 0.250 0.000 0.500
Ag 0.500 0.250 0.000
Ag 0.500 0.750 0.000
Ag 0.750 0.000 0.500
Ge 0.000 0.307 0.115
Ge 0.000 0.307 0.885
Ge 0.000 0.693 0.115
Ge 0.000 0.693 0.885
Ge 0.115 0.000 0.307
Ge 0.115 0.000 0.693
Ge 0.183 0.183 0.183
Ge 0.183 0.183 0.817
Ge 0.183 0.817 0.183
Ge 0.183 0.817 0.817
Ge 0.193 0.500 0.385
Ge 0.193 0.500 0.615
Ge 0.307 0.115 0.000
Ge 0.307 0.885 0.000
Ge 0.317 0.317 0.317
Ge 0.317 0.317 0.683
Ge 0.317 0.683 0.317
Ge 0.317 0.683 0.683
Ge 0.385 0.193 0.500
Ge 0.385 0.807 0.500
Ge 0.500 0.385 0.193
Ge 0.500 0.385 0.807
Ge 0.500 0.615 0.193
Ge 0.500 0.615 0.807
Ge 0.615 0.193 0.500
Ge 0.615 0.807 0.500
Ge 0.683 0.317 0.317
Ge 0.683 0.317 0.683
Ge 0.683 0.683 0.317
Ge 0.683 0.683 0.683
Ge 0.693 0.115 0.000
Ge 0.693 0.885 0.000
Ge 0.807 0.500 0.385
Ge 0.807 0.500 0.615
Ge 0.817 0.183 0.183
Ge 0.817 0.183 0.817
Ge 0.817 0.817 0.183
Ge 0.817 0.817 0.817
Ge 0.885 0.000 0.307
Ge 0.885 0.000 0.693
```

The final energy comes out at -4.284 eV per atom. The calculation puts the calculated volume at 24.5 Å³ per atom. Its space group is Pm-3n, No. 223.